First-principles (PBE) data for a relaxed LiMgPd2 crystal, as listed in the Open Quantum Materials Database.

## Properties
energy = -0.1398 hartree per atom

Cell lengths 4.3708, 4.3708, 7.9133 Å; angles 90.00, 90.00, 120.00 degrees
Closest atoms and distances in Å follow each position.
Space group P6_3/mmc (No. 194)
Inequivalent atoms, fractional coordinates:
Li 0.0000 0.0000 0.2500 [2 per cell]  3 Mg 2.52
Mg 0.3333 0.6667 0.2500 [2 per cell]  3 Li 2.52, 2 Pd 2.63
Pd 0.3333 0.6667 0.5818 [4 per cell]  4 Mg 2.63-2.85, 4 Pd 2.66-2.84, 3 Li 2.85

---

First-principles (PBE) data for a relaxed LiMgPd crystal, as listed in the Open Quantum Materials Database.

## Properties
energy = -0.1242 hartree per atom

Cell lengths 4.4516, 4.4516, 5.5424 Å; angles 90.00, 90.00, 120.00 degrees
Closest atoms and distances in Å follow each position.
Space group P3m1 (No. 156)
Inequivalent atoms, fractional coordinates:
Li 0.0000 0.0000 0.0000 [1 per cell]  5 Mg 2.69-2.85, 3 Li 2.73
Li 0.3333 0.6667 0.1663 [1 per cell]  5 Pd 2.70-2.82, 3 Li 2.73
Mg 0.0000 0.0000 0.4859 [1 per cell]  2 Li 2.69-2.85, 6 Pd 2.73-2.74
Mg 0.6667 0.3333 0.8198 [1 per cell]  5 Pd 2.72-2.78, 3 Li 2.76
Pd 0.3333 0.6667 0.6568 [1 per cell]  2 Li 2.72-2.82, 6 Mg 2.72-2.74
Pd 0.6667 0.3333 0.3181 [1 per cell]  3 Li 2.70, 5 Mg 2.73-2.78

---

First-principles (PBE) data for a relaxed LiMgPd2 crystal, as listed in the Open Quantum Materials Database.

## Properties
energy = -0.1497 hartree per atom

Cell lengths 3.0915, 3.0915, 6.1319 Å; angles 90.00, 90.00, 90.00 degrees
Closest atoms and distances in Å follow each position.
Space group P4/mmm (No. 123)
Inequivalent atoms, fractional coordinates:
Li 0.0000 0.0000 0.0000 [1 per cell]  8 Pd 2.63
Mg 0.0000 0.0000 0.5000 [1 per cell]  8 Pd 2.71
Pd 0.5000 0.5000 0.2383 [2 per cell]  4 Li 2.63, 4 Mg 2.71, 1 Pd 2.92

---

First-principles (PBE) data for a relaxed LiMgPd2 crystal, as listed in the Open Quantum Materials Database.

## Properties
energy = -0.1495 hartree per atom

Cell lengths 6.1634, 6.1737, 3.1117 Å; angles 90.00, 90.00, 90.00 degrees
Closest atoms and distances in Å follow each position.
Space group Cmmm (No. 65)
Inequivalent atoms, fractional coordinates:
Li 0.0000 0.0000 0.0000 [2 per cell]  8 Pd 2.68
Mg 0.0000 0.5000 0.0000 [2 per cell]  8 Pd 2.68
Pd 0.2500 0.2500 0.5000 [4 per cell]  4 Li 2.68, 4 Mg 2.68

---

First-principles (PBE) data for a relaxed LiMgPd crystal, as listed in the Open Quantum Materials Database.

## Properties
energy = -0.1114 hartree per atom

Cell lengths 5.8982, 5.8982, 5.8982 Å; angles 90.00, 90.00, 90.00 degrees
Closest atoms and distances in Å follow each position.
Space group F-43m (No. 216)
Inequivalent atoms, fractional coordinates:
Li 0.0000 0.0000 0.0000 [4 per cell]  4 Mg 2.55, 4 Pd 2.55
Mg 0.2500 0.2500 0.7500 [4 per cell]  4 Li 2.55
Pd 0.2500 0.2500 0.2500 [4 per cell]  4 Li 2.55

---

First-principles (PBE) data for a relaxed Li4Mg2PdPt crystal, as listed in the Open Quantum Materials Database.

## Properties
energy = -0.1181 hartree per atom
spin magnetization = 0.002 Bohr magnetons per cell

Cell lengths 4.4280, 4.4280, 6.2505 Å; angles 90.00, 90.00, 90.00 degrees
Closest atoms and distances in Å follow each position.
Space group P-4m2 (No. 115)
Inequivalent atoms, fractional coordinates:
Li 0.0000 0.0000 0.0000 [1 per cell]  4 Mg 2.70, 4 Li 2.70
Li 0.0000 0.5000 0.2474 [2 per cell]  2 Pt 2.70, 4 Li 2.70-2.72, 2 Pd 2.72
Li 0.5000 0.5000 0.5000 [1 per cell]  4 Li 2.72, 4 Mg 2.72
Mg 0.0000 0.5000 0.7535 [2 per cell]  4 Li 2.70-2.72, 2 Pt 2.70, 2 Pd 2.72
Pd 0.0000 0.0000 0.5000 [1 per cell]  4 Li 2.72, 4 Mg 2.72
Pt 0.5000 0.5000 0.0000 [1 per cell]  4 Mg 2.70, 4 Li 2.70

---

Ρ values (in Mg/m³) by entry order: 6.19 4.81 6.92 6.85 4.46 5.12.